# Li2YbSi (GGA-PBE, optimized geometry)
data_Li2YbSi
_space_group_name_H-M_alt 'P 1'
_space_group_IT_number 1
_cell_length_a 4.616
_cell_length_b 4.616
_cell_length_c 4.616
_cell_angle_alpha 60.00
_cell_angle_beta 60.00
_cell_angle_gamma 60.00
loop_
_space_group_symop_operation_xyz
'x,y,z'
loop_
_atom_site_label
_atom_site_type_symbol
_atom_site_fract_x
_atom_site_fract_y
_atom_site_fract_z
Li1 Li 0.250 0.250 0.250
Li2 Li 0.750 0.750 0.750
Yb1 Yb 0.000 0.000 0.000
Si1 Si 0.500 0.500 0.500
# V, Å³ per cell: 69.5
# Density of states at the Fermi level, states/eV per atom: 0.0019
# Crystal system: cubic
# Uncorrected formation energy, meV/atom: -320
# E_tot, eV/atom: -3.01